A relaxed structure of MoAuCl2, computed with PBE.

Summary:
ρ in Mg/m³: 7.5
Offset from the most stable computed form in meV per atom: 101.1
Formation energy (no corrections) in eV/atom: -0.093

Lattice parameters (Å, degrees): 3.2432 3.2432 26.3644 90.00 90.00 120.00
Space group R3m (No. 160, hexagonal axes)
Unique sites:
Mo 0.0000 0.0000 0.0000 x3
Au 0.0000 0.0000 0.7436 x3
Cl 0.0000 0.0000 0.2718 x3
Cl 0.0000 0.0000 0.4808 x3